[1]
DFT (PBEsol) results for crystalline Tl2SbAs at its relaxed geometry.

Cell lengths 5.251, 5.251, 5.251 Å; angles 60.00, 60.00, 60.00 degrees
Fractional coordinates of all 4 atoms:
Sb1 0.250 0.250 0.250
Tl1 0.750 0.750 0.750
Tl2 0.000 0.000 0.000
As1 0.500 0.500 0.500

Summary:
DOS(E_F)	0.68	states/eV/atom
formation energy without anion corrections	0.180	eV per atom
density	9.82	g cm⁻³

---

[2]
DFT (PBEsol) results for crystalline Tl2SbAs at its relaxed geometry.

Cell lengths 4.408, 4.408, 6.165 Å; angles 110.95, 110.95, 90.00 degrees
Fractional coordinates of all 4 atoms:
Tl1 0.250 0.750 0.500
Tl2 0.750 0.250 0.500
Sb1 0.000 0.000 0.000
As1 0.500 0.500 0.000

Summary:
DOS(E_F)	0.56	states/eV/atom
formation energy without anion corrections	0.144	eV per atom
density	9.73	g cm⁻³

---

[3]
DFT (PBEsol) results for crystalline TlSb2As at its relaxed geometry.

Cell lengths 3.348, 3.348, 9.264 Å; angles 90.00, 90.00, 102.19 degrees
Fractional coordinates of all 4 atoms:
Sb1 0.000 0.000 0.028
Sb2 0.500 0.500 0.761
Tl1 0.000 0.000 0.482
As1 0.500 0.500 0.229

Summary:
DOS(E_F)	0.50	states/eV/atom
formation energy without anion corrections	0.203	eV per atom
density	8.55	g cm⁻³

---

[4]
DFT (PBEsol) results for crystalline Sb3AsW at its relaxed geometry.

Cell lengths 5.136, 5.136, 5.136 Å; angles 90.00, 90.00, 90.00 degrees
Site moments in Bohr magnetons follow the coordinates.
Fractional coordinates of all 5 atoms:
Sb1 0.000 0.500 0.000  -0.07
Sb2 0.000 0.000 0.500  -0.07
Sb3 0.500 0.000 0.000  -0.07
W1 0.500 0.500 0.500  2.46
As1 0.000 0.000 0.000  -0.02

Summary:
DOS(E_F)	0.66	states/eV/atom
formation energy without anion corrections	1.612	eV per atom
density	7.65	g cm⁻³

---

[5]
DFT (PBEsol) results for crystalline SbAsW2 at its relaxed geometry.

Cell lengths 3.220, 4.280, 5.028 Å; angles 90.00, 90.00, 90.00 degrees
Fractional coordinates of all 4 atoms:
W1 0.000 0.000 0.000
W2 0.500 0.000 0.500
Sb1 0.000 0.500 0.500
As1 0.500 0.500 0.000

Summary:
DOS(E_F)	0.87	states/eV/atom
formation energy without anion corrections	0.820	eV per atom
density	13.52	g cm⁻³

---

[6]
DFT (PBEsol) results for crystalline Sb2AsW at its relaxed geometry.

Cell lengths 3.331, 4.874, 4.874 Å; angles 90.00, 90.00, 90.00 degrees
Fractional coordinates of all 4 atoms:
As1 0.500 0.000 0.000
Sb1 0.000 0.000 0.500
Sb2 0.000 0.500 0.000
W1 0.500 0.500 0.500

Summary:
DOS(E_F)	0.88	states/eV/atom
formation energy without anion corrections	0.731	eV per atom
density	10.54	g cm⁻³

---

[7]
DFT (PBEsol) results for crystalline SbAsW2 at its relaxed geometry.

Cell lengths 3.314, 3.314, 6.299 Å; angles 90.00, 90.00, 90.00 degrees
Fractional coordinates of all 4 atoms:
W1 0.500 0.500 0.282
W2 0.000 0.000 0.004
Sb1 0.500 0.500 0.772
As1 0.000 0.000 0.442

Summary:
DOS(E_F)	0.67	states/eV/atom
formation energy without anion corrections	0.269	eV per atom
density	13.54	g cm⁻³

---

[8]
DFT (PBEsol) results for crystalline SbAsW2 at its relaxed geometry.

Cell lengths 3.104, 5.178, 5.178 Å; angles 112.21, 103.79, 103.79 degrees
Fractional coordinates of all 4 atoms:
W1 0.000 0.000 0.500
W2 0.000 0.500 0.000
Sb1 0.500 0.500 0.500
As1 0.500 0.000 0.000

Summary:
DOS(E_F)	0.82	states/eV/atom
formation energy without anion corrections	0.836	eV per atom
density	13.46	g cm⁻³

---

[9]
DFT (PBEsol) results for crystalline Sb2AsW at its relaxed geometry.

Cell lengths 4.809, 4.809, 4.809 Å; angles 60.00, 60.00, 60.00 degrees
Fractional coordinates of all 4 atoms:
Sb1 0.000 0.000 0.000
Sb2 0.750 0.750 0.750
As1 0.250 0.250 0.250
W1 0.500 0.500 0.500

Summary:
DOS(E_F)	0.84	states/eV/atom
formation energy without anion corrections	0.704	eV per atom
density	10.61	g cm⁻³

---

[10]
DFT (PBEsol) results for crystalline Sb2AsW at its relaxed geometry.

Cell lengths 3.321, 4.947, 4.947 Å; angles 97.84, 96.32, 96.32 degrees
Fractional coordinates of all 4 atoms:
W1 0.500 0.500 0.500
As1 0.500 0.000 0.000
Sb1 0.000 0.000 0.500
Sb2 0.000 0.500 0.000

Summary:
DOS(E_F)	0.77	states/eV/atom
formation energy without anion corrections	0.698	eV per atom
density	10.51	g cm⁻³

---

[11]
DFT (PBEsol) results for crystalline SbAsW2 at its relaxed geometry.

Cell lengths 3.028, 3.028, 8.503 Å; angles 90.00, 90.00, 116.67 degrees
Fractional coordinates of all 4 atoms:
Sb1 0.500 0.500 0.000
W1 0.000 0.000 0.731
W2 0.000 0.000 0.269
As1 0.500 0.500 0.500

Summary:
DOS(E_F)	0.86	states/eV/atom
formation energy without anion corrections	0.789	eV per atom
density	13.45	g cm⁻³

---

[12]
DFT (PBEsol) results for crystalline YSbAs at its relaxed geometry.

Cell lengths 4.825, 4.825, 4.825 Å; angles 60.00, 60.00, 60.00 degrees
Fractional coordinates of all 3 atoms:
Y1 0.500 0.500 0.500
As1 0.750 0.750 0.750
Sb1 0.000 0.000 0.000

Summary:
DOS(E_F)	0.90	states/eV/atom
formation energy without anion corrections	-0.439	eV per atom
density	5.97	g cm⁻³

---

[13]
DFT (PBEsol) results for crystalline YSbAs4 at its relaxed geometry.

Cell lengths 5.603, 5.603, 5.603 Å; angles 60.00, 60.00, 60.00 degrees
Fractional coordinates of all 6 atoms:
As1 0.877 0.374 0.374
As2 0.374 0.877 0.374
As3 0.374 0.374 0.877
As4 0.374 0.374 0.374
Y1 0.000 0.000 0.000
Sb1 0.750 0.750 0.750

Summary:
DOS(E_F)	0.68	states/eV/atom
formation energy without anion corrections	-0.155	eV per atom
density	6.81	g cm⁻³

---

[14]
DFT (PBEsol) results for crystalline YSb3As at its relaxed geometry.

Cell lengths 5.616, 5.616, 5.616 Å; angles 90.00, 90.00, 90.00 degrees
Fractional coordinates of all 5 atoms:
Sb1 0.500 0.000 0.000
Sb2 0.000 0.000 0.500
Sb3 0.000 0.500 0.000
As1 0.500 0.500 0.500
Y1 0.000 0.000 0.000

Summary:
DOS(E_F)	1.06	states/eV/atom
formation energy without anion corrections	0.777	eV per atom
density	4.96	g cm⁻³

---

[15]
DFT (PBEsol) results for crystalline YSbAs at its relaxed geometry.

Cell lengths 4.917, 4.917, 4.917 Å; angles 60.00, 60.00, 60.00 degrees
Fractional coordinates of all 3 atoms:
As1 0.000 0.000 0.000
Y1 0.750 0.750 0.750
Sb1 0.500 0.500 0.500

Summary:
DOS(E_F)	0.96	states/eV/atom
formation energy without anion corrections	-0.370	eV per atom
density	5.64	g cm⁻³

---

[16]
DFT (PBEsol) results for crystalline YSb2As2 at its relaxed geometry.

Cell lengths 4.082, 4.082, 8.125 Å; angles 104.55, 104.55, 90.00 degrees
Fractional coordinates of all 5 atoms:
Sb1 0.750 0.250 0.500
Sb2 0.250 0.750 0.500
Y1 0.000 0.000 0.000
As1 0.582 0.582 0.164
As2 0.418 0.418 0.836

Summary:
DOS(E_F)	0.80	states/eV/atom
formation energy without anion corrections	-0.195	eV per atom
density	6.33	g cm⁻³